# 1
Computed, not measured: crystalline Hf8ZrIn2 at its relaxed geometry at the GGA-PBE level of DFT.

The calculation puts the volume at 23.0 A^3/atom. The value obtained for the formation enthalpy at 0 K is 0.14 eV per atom.

The structure belongs to space group C2/m (No. 12); the cell edges are 15.141, 5.883 and 5.835 Å and the angles 90.00°, 102.94° and 90.00°. The distinct sites, in fractional coordinates, are Hf at (0.083, 0.236, 0.428), Hf at (0.094, 0.000, 0.944), Hf at (0.242, 0.500, 0.355), Zr at (0.000, 0.500, 0.000) and In at (0.195, 0.500, 0.838).

# 2
Computed, not measured: crystalline Pm2AuSe at its relaxed geometry at the GGA-PBE level of DFT.

The calculation puts the volume at 26.3 A^3/atom. The polymorph energy (0 for the lowest one) comes out at 0.0000 eV/atom. Its raw formation energy is -509 kJ/mol of formula units.

The structure belongs to space group Cmcm (No. 63); the cell edges are 4.059, 23.640 and 4.392 Å and the angles 90.00°, 90.00° and 90.00°. The distinct sites, in fractional coordinates, are Pm at (0.000, 0.067, 0.250), Pm at (0.000, 0.316, 0.250), Au at (0.000, 0.456, 0.250) and Se at (0.000, 0.191, 0.250).

# 3
Computed, not measured: crystalline Cs6Rb2Te at its relaxed geometry at the GGA-PBE level of DFT.

The calculation puts the volume at 89.0 A^3/atom. Its raw formation energy is -262 kJ/mol of formula units.

The structure belongs to space group Amm2 (No. 38); the cell edges are 5.654, 22.240 and 12.743 Å and the angles 90.00°, 90.00° and 90.00°. The distinct sites, in fractional coordinates, are Cs at (0.000, 0.000, 0.000), Cs at (0.000, 0.098, 0.665), Cs at (0.500, 0.000, 0.363), Cs at (0.500, 0.165, 0.951), Rb at (0.000, 0.180, 0.278) and Te at (0.500, 0.000, 0.797).

# 4
Computed, not measured: crystalline LiMnP2Ru at its relaxed geometry at the GGA-PBE level of DFT.

The calculation puts the volume at 14.1 A^3/atom. The value obtained for the formation enthalpy at 0 K is -0.58 eV per atom.

The structure belongs to space group I-4m2 (No. 119); the cell edges are 3.947, 3.947 and 9.036 Å and the angles 90.00°, 90.00° and 90.00°. The distinct sites, in fractional coordinates, are Li at (0.000, 0.000, 0.000), Mn at (0.000, 0.500, 0.250), P at (0.000, 0.000, 0.375) and Ru at (0.000, 0.500, 0.750).

# 5
Computed, not measured: crystalline PuWC at its relaxed geometry at the GGA-PBE level of DFT.

The calculation puts the volume at 16.1 A^3/atom. The polymorph energy (0 for the lowest one) comes out at 0.1174 eV/atom. The value obtained for the formation enthalpy at 0 K is 0.30 eV per atom.

The structure belongs to space group I4mm (No. 107); the cell edges are 2.959, 2.959 and 11.001 Å and the angles 90.00°, 90.00° and 90.00°. The distinct sites, in fractional coordinates, are Pu at (0.000, 0.000, 0.000), W at (0.000, 0.000, 0.284) and C at (0.000, 0.000, 0.741).

# 6
Computed, not measured: crystalline HfNbTcRu at its relaxed geometry at the GGA-PBE level of DFT.

The calculation puts the volume at 16.7 A^3/atom. The value obtained for the formation enthalpy at 0 K is -0.51 eV per atom.

The structure belongs to space group Pmmm (No. 47); the cell edges are 3.220, 4.506 and 4.593 Å and the angles 90.00°, 90.00° and 90.00°. The distinct sites, in fractional coordinates, are Hf at (0.000, 0.000, 0.000), Nb at (0.000, 0.500, 0.500), Tc at (0.500, 0.000, 0.500) and Ru at (0.500, 0.500, 0.000).

# 7
Computed, not measured: crystalline ScGePt4 at its relaxed geometry at the GGA-PBE level of DFT.

The calculation puts the volume at 17.4 A^3/atom. The value obtained for the formation enthalpy at 0 K is -0.61 eV per atom.

The structure belongs to space group C2/c (No. 15); the cell edges are 14.143, 5.405 and 5.492 Å and the angles 90.00°, 94.76° and 90.00°. The distinct sites, in fractional coordinates, are Sc at (0.000, 0.138, 0.250), Ge at (0.250, 0.250, 0.000), Pt at (0.086, 0.422, 0.908) and Pt at (0.157, 0.109, 0.580).

# 8
Computed, not measured: crystalline NiMoP at its relaxed geometry at the GGA-PBE level of DFT.

The calculation puts the volume at 12.8 A^3/atom. The value obtained for the formation enthalpy at 0 K is -0.37 eV per atom.

The structure belongs to space group C2/m (No. 12); the cell edges are 8.957, 3.121 and 6.237 Å and the angles 90.00°, 117.88° and 90.00°. The distinct sites, in fractional coordinates, are Ni at (0.151, 0.000, 0.045), Mo at (0.076, 0.500, 0.341) and P at (0.160, 0.000, 0.693).

# 9
Computed, not measured: crystalline BeGa2TeS at its relaxed geometry at the GGA-PBE level of DFT.

The calculation puts the volume at 24.8 A^3/atom. Its raw formation energy is 48 kJ/mol of formula units.

The structure belongs to space group P4/mmm (No. 123); the cell edges are 5.773, 5.773 and 3.720 Å and the angles 90.00°, 90.00° and 90.00°. The distinct sites, in fractional coordinates, are Be at (0.000, 0.000, 0.000), Ga at (0.000, 0.500, 0.500), Te at (0.500, 0.500, 0.000) and S at (0.000, 0.000, 0.500).

# 10
Computed, not measured: crystalline K2Cd2Pt3 at its relaxed geometry at the GGA-PBE level of DFT.

The calculation puts the volume at 23.6 A^3/atom. The value obtained for the formation enthalpy at 0 K is -0.21 eV per atom.

The structure belongs to space group C2/m (No. 12); the cell edges are 12.023, 4.665 and 7.363 Å and the angles 90.00°, 126.90° and 90.00°. The distinct sites, in fractional coordinates, are K at (0.174, 0.000, 0.046), Cd at (0.137, 0.000, 0.492), Pt at (0.000, 0.500, 0.500) and Pt at (0.067, 0.500, 0.219).

# 11
Computed, not measured: crystalline LiZrF3 at its relaxed geometry at the GGA-PBE level of DFT.

The calculation puts the volume at 10.8 A^3/atom. The polymorph energy (0 for the lowest one) comes out at 0.0454 eV/atom. Its raw formation energy is -1125 kJ/mol of formula units.

The structure belongs to space group Pm-3m (No. 221); the cell edges are 3.785, 3.785 and 3.785 Å and the angles 90.00°, 90.00° and 90.00°. The distinct sites, in fractional coordinates, are Li at (0.000, 0.000, 0.000), Zr at (0.500, 0.500, 0.500) and F at (0.000, 0.000, 0.500).

# 12
Computed, not measured: crystalline In12GaHg4 at its relaxed geometry at the GGA-PBE level of DFT.

The calculation puts the volume at 27.0 A^3/atom. The value obtained for the formation enthalpy at 0 K is 0.03 eV per atom.

The structure belongs to space group C2/m (No. 12); the cell edges are 13.140, 10.590 and 9.279 Å and the angles 90.00°, 134.76° and 90.00°. The distinct sites, in fractional coordinates, are In at (0.000, 0.230, 0.000), In at (0.000, 0.250, 0.500), In at (0.052, 0.500, 0.350), In at (0.069, 0.000, 0.305), In at (0.203, 0.000, 0.753), In at (0.238, 0.000, 0.168), Ga at (0.000, 0.500, 0.000), Hg at (0.250, 0.250, 0.000) and Hg at (0.250, 0.250, 0.500).

Number 11 is which compound? LiZrF3